1.
Below is a relaxed structure of AcZnAgPt, with properties calculated at the PBE-GGA level.

Properties
Energy above the most stable polymorph in this dataset (kcal/mol of atoms): 3.71
Density of states at the Fermi level (states/eV per cell): 1.44
SG: F-43m (216)
M_tot (μB per formula unit): 0.000

abc: 5.0694 5.0694 5.0694
angles: 60.00 60.00 60.00
Fractional positions:
Ac  0.0000  0.0000  0.0000
Zn  0.7500  0.7500  0.7500
Ag  0.5000  0.5000  0.5000
Pt  0.2500  0.2500  0.2500



2.
Below is a relaxed structure of Y6HgP2S3, with properties calculated at the PBE-GGA level.

Properties
Density of states at the Fermi level (states/eV per cell): 4.94
ΔE_f (raw) (eV per atom): -1.613
SG: C2/m (12)
M_tot (μB per formula unit): 0.000

abc: 8.9970 8.9970 8.1374
angles: 103.12 103.12 25.54
Fractional positions:
Y  0.0014  0.0014  0.2696
Y  0.3275  0.3275  0.9059
Y  0.3299  0.3299  0.4227
Y  0.6701  0.6701  0.5773
Y  0.6725  0.6725  0.0941
Y  0.9986  0.9986  0.7304
Hg  0.5000  0.5000  0.0000
P  0.1668  0.1668  0.3346
P  0.8332  0.8332  0.6654
S  0.1675  0.1675  0.8316
S  0.5000  0.5000  0.5000
S  0.8325  0.8325  0.1684